1.
# Cs2HfAsO6 (PBE, relaxed)
data_Cs2HfAsO6
_symmetry_space_group_name_H-M 'P -3 m 1'
_symmetry_Int_Tables_number 164
_symmetry_space_group_name_Hall '-P 3 2"'
_cell_length_a 6.7300
_cell_length_b 6.7300
_cell_length_c 5.3482
_cell_angle_alpha 90.00
_cell_angle_beta 90.00
_cell_angle_gamma 120.00
loop_
_atom_site_label
_atom_site_type_symbol
_atom_site_fract_x
_atom_site_fract_y
_atom_site_fract_z
Cs1 Cs 0.3333 0.6667 0.3336
Hf1 Hf 0.0000 0.0000 0.0000
As1 As 0.0000 0.0000 0.5000
O1 O 0.1268 0.2537 0.7185
# Formation energy from raw total energies ... -1.846 eV/atom



2.
# Cs2HfAs2Se6 (PBE, relaxed)
data_Cs2HfAs2Se6
_symmetry_space_group_name_H-M 'C 1 2/m 1'
_symmetry_Int_Tables_number 12
_cell_length_a 11.1884
_cell_length_b 7.4235
_cell_length_c 9.0833
_cell_angle_alpha 90.00
_cell_angle_beta 104.76
_cell_angle_gamma 90.00
loop_
_symmetry_equiv_pos_as_xyz
'x,y,z'
'-x,-y,-z'
'-x,y,-z'
'x,-y,z'
'x+1/2,y+1/2,z'
'-x+1/2,-y+1/2,-z'
'-x+1/2,y+1/2,-z'
'x+1/2,-y+1/2,z'
loop_
_atom_site_label
_atom_site_type_symbol
_atom_site_fract_x
_atom_site_fract_y
_atom_site_fract_z
Cs1 Cs 0.1916 0.0000 0.1022
Hf1 Hf 0.0000 0.0000 0.5000
As1 As 0.1081 0.5000 0.2600
Se1 Se 0.0308 0.2436 0.7295
Se2 Se 0.2392 0.0000 0.5060
# Formation energy from raw total energies ... -0.714 eV/atom



3.
# CsHfAs2Se (PBE, relaxed)
data_CsHfAs2Se
_symmetry_space_group_name_H-M 'P 4/m m m'
_symmetry_Int_Tables_number 123
_symmetry_space_group_name_Hall '-P 4 2'
_cell_length_a 5.2823
_cell_length_b 5.2823
_cell_length_c 5.3446
_cell_angle_alpha 90.00
_cell_angle_beta 90.00
_cell_angle_gamma 90.00
loop_
_atom_site_label
_atom_site_type_symbol
_atom_site_fract_x
_atom_site_fract_y
_atom_site_fract_z
Cs1 Cs 0.0000 0.0000 0.0000
Hf1 Hf 0.5000 0.5000 0.5000
As1 As 0.0000 0.5000 0.5000
Se1 Se 0.5000 0.5000 0.0000
# Formation energy from raw total energies ... -0.490 eV/atom
# ΔE to the lowest computed polymorph ... 0.000 eV per atom



4.
# CsHfAs2Se (PBE, relaxed)
data_CsHfAs2Se
_symmetry_space_group_name_H-M 'P 4/m m m'
_symmetry_Int_Tables_number 123
_symmetry_space_group_name_Hall '-P 4 2'
_cell_length_a 5.5372
_cell_length_b 5.5372
_cell_length_c 5.3156
_cell_angle_alpha 90.00
_cell_angle_beta 90.00
_cell_angle_gamma 90.00
loop_
_atom_site_label
_atom_site_type_symbol
_atom_site_fract_x
_atom_site_fract_y
_atom_site_fract_z
Cs1 Cs 0.0000 0.0000 0.0000
Hf1 Hf 0.5000 0.5000 0.5000
As1 As 0.0000 0.5000 0.0000
Se1 Se 0.0000 0.0000 0.5000
# Formation energy from raw total energies ... 1.751 eV/atom
# ΔE to the lowest computed polymorph ... 2.241 eV per atom



5.
Entry from Alexandria: crystalline Cs2SrHfAs at its relaxed geometry (PBE).

```
data_Cs2SrHfAs
_symmetry_space_group_name_H-M 'P 4/m m m'
_symmetry_Int_Tables_number 123
_symmetry_space_group_name_Hall '-P 4 2'
_cell_length_a 7.2837
_cell_length_b 7.2837
_cell_length_c 5.1505
_cell_angle_alpha 90.00
_cell_angle_beta 90.00
_cell_angle_gamma 90.00
loop_
_atom_site_label
_atom_site_type_symbol
_atom_site_fract_x
_atom_site_fract_y
_atom_site_fract_z
Cs1 Cs 0.0000 0.5000 0.0000
Sr1 Sr 0.0000 0.0000 0.5000
Hf1 Hf 0.5000 0.5000 0.5000
As1 As 0.5000 0.5000 0.0000
```



6.
Entry from Alexandria: crystalline Cs2HfTcAs at its relaxed geometry (PBE).

```
data_Cs2HfTcAs
_symmetry_space_group_name_H-M 'P 4/m m m'
_symmetry_Int_Tables_number 123
_symmetry_space_group_name_Hall '-P 4 2'
_cell_length_a 7.6060
_cell_length_b 7.6060
_cell_length_c 5.0295
_cell_angle_alpha 90.00
_cell_angle_beta 90.00
_cell_angle_gamma 90.00
loop_
_atom_site_label
_atom_site_type_symbol
_atom_site_fract_x
_atom_site_fract_y
_atom_site_fract_z
Cs1 Cs 0.0000 0.5000 0.0000
Hf1 Hf 0.0000 0.0000 0.0000
Tc1 Tc 0.5000 0.5000 0.5000
As1 As 0.0000 0.0000 0.5000
```



Computed raw total energy (eV per cell) in order:
-64.519 -99.446 -26.042 -14.836 -16.472 -19.689